{
  "formula": "MgTePbN2",
  "functional": "PBE",
  "state": "relaxed",
  "polymorph_energy_ev_per_fu": 0.00,
  "dos_ef_per_ev_fu": 0.93,
  "total_energy_ev_per_atom": -3.9671,
  "lattice_angstrom": [[-0.1429, -3.6613, 2.4995], [-2.2069, -2.1101, -3.2171], [5.1323, -1.7985, -2.3411]],
  "species": ["N", "N", "Pb", "Te", "Mg"],
  "frac_coords": [[0.0000, 0.5000, 0.0000], [0.5000, 0.0000, 0.0000], [0.5000, 0.5000, 0.5000], [0.0000, 0.0000, 0.5000], [0.0000, 0.0000, 0.0000]]
}